1.
{"formula": "RbMnNi", "functional": "PBE", "state": "optimized geometry", "lattice_angstrom": [[4.490, 0.000, 0.000], [0.003, 5.053, 0.000], [2.198, 0.478, 6.256]], "species": ["Rb", "Rb", "Mn", "Mn", "Ni", "Ni"], "frac_coords": [[0.000, 0.000, 0.000], [0.500, 0.500, 0.001], [0.260, 0.851, 0.487], [0.747, 0.152, 0.513], [0.247, 0.352, 0.512], [0.760, 0.651, 0.489]], "sg": "P1 (1)", "ef_kcal_per_mol_atoms": 12.60, "n_ef_per_ev_cell": 3.521, "magnetic_moment_mub_per_fu": 4.2, "crystal_system": "triclinic", "relative_energy_mev_per_atom": 142.6}

2.
{"formula": "ZrScZn2Pd2", "functional": "PBE", "state": "optimized geometry", "lattice_angstrom": [[4.483, 0.000, 0.000], [-2.241, 3.882, 0.000], [0.000, 0.000, 5.914]], "species": ["Zr", "Sc", "Zn", "Zn", "Pd", "Pd"], "frac_coords": [[0.000, 0.000, 0.000], [0.000, 0.000, 0.500], [0.333, 0.667, 0.748], [0.667, 0.333, 0.252], [0.333, 0.667, 0.251], [0.667, 0.333, 0.749]], "sg": "P-3m1 (164)", "ef_kcal_per_mol_atoms": -13.55, "n_ef_per_ev_cell": 5.094, "magnetic_moment_mub_per_fu": 0.0, "crystal_system": "trigonal"}

3.
{"formula": "Ba2TmMg16", "functional": "PBE", "state": "optimized geometry", "lattice_angstrom": [[5.351, 3.089, 5.231], [-5.351, 3.089, 5.231], [0.000, -6.179, 5.231]], "species": ["Ba", "Ba", "Tm", "Mg", "Mg", "Mg", "Mg", "Mg", "Mg", "Mg", "Mg", "Mg", "Mg", "Mg", "Mg", "Mg", "Mg", "Mg", "Mg"], "frac_coords": [[0.000, 0.000, 0.000], [0.320, 0.320, 0.320], [0.567, 0.567, 0.567], [0.007, 0.007, 0.505], [0.007, 0.505, 0.007], [0.157, 0.659, 0.659], [0.309, 0.309, 0.808], [0.309, 0.808, 0.309], [0.367, 0.659, 0.949], [0.367, 0.949, 0.659], [0.505, 0.007, 0.007], [0.659, 0.157, 0.659], [0.659, 0.367, 0.949], [0.659, 0.659, 0.157], [0.659, 0.949, 0.367], [0.769, 0.769, 0.769], [0.808, 0.309, 0.309], [0.949, 0.367, 0.659], [0.949, 0.659, 0.367]], "sg": "R3m (160)", "ef_kcal_per_mol_atoms": -1.28, "n_ef_per_ev_cell": 11.142, "magnetic_moment_mub_per_fu": 0.0, "crystal_system": "trigonal"}

4.
{"formula": "Ho7Mg3Rh2", "functional": "PBE", "state": "optimized geometry", "lattice_angstrom": [[8.306, -4.813, 0.000], [8.306, 4.813, 0.000], [-5.522, 0.000, 7.851]], "species": ["Ho", "Ho", "Ho", "Ho", "Ho", "Ho", "Ho", "Ho", "Ho", "Ho", "Ho", "Ho", "Ho", "Ho", "Mg", "Mg", "Mg", "Mg", "Mg", "Mg", "Rh", "Rh", "Rh", "Rh"], "frac_coords": [[0.000, 0.000, 0.000], [0.002, 0.002, 0.390], [0.154, 0.536, 0.848], [0.154, 0.539, 0.231], [0.157, 0.157, 0.851], [0.386, 0.998, 0.389], [0.409, 0.780, 0.976], [0.413, 0.413, 0.603], [0.536, 0.154, 0.848], [0.536, 0.536, 0.236], [0.539, 0.154, 0.231], [0.780, 0.409, 0.976], [0.780, 0.780, 0.969], [0.998, 0.386, 0.389], [0.087, 0.767, 0.619], [0.412, 0.784, 0.611], [0.762, 0.762, 0.618], [0.767, 0.087, 0.619], [0.767, 0.767, 0.302], [0.784, 0.412, 0.611], [0.203, 0.768, 0.175], [0.207, 0.207, 0.618], [0.209, 0.209, 0.187], [0.768, 0.203, 0.175]], "sg": "Cm (8)", "ef_kcal_per_mol_atoms": -9.09, "n_ef_per_ev_cell": 23.779, "magnetic_moment_mub_per_fu": 0.0, "crystal_system": "monoclinic"}

5.
{"formula": "Rb3Np3FeS8", "functional": "PBE", "state": "optimized geometry", "lattice_angstrom": [[6.856, -3.969, 0.000], [6.856, 3.969, 0.000], [-4.540, 0.000, 7.826]], "species": ["Rb", "Rb", "Rb", "Np", "Np", "Np", "Fe", "S", "S", "S", "S", "S", "S", "S", "S"], "frac_coords": [[0.000, 0.000, 0.000], [0.000, 0.500, 0.000], [0.500, 0.000, 0.000], [0.000, 0.500, 0.500], [0.500, 0.000, 0.500], [0.500, 0.500, 0.500], [0.000, 0.000, 0.500], [0.220, 0.740, 0.679], [0.223, 0.223, 0.680], [0.260, 0.780, 0.321], [0.268, 0.268, 0.306], [0.732, 0.732, 0.694], [0.740, 0.220, 0.679], [0.777, 0.777, 0.320], [0.780, 0.260, 0.321]], "sg": "C2/m (12)", "n_ef_per_ev_cell": 24.061, "magnetic_moment_mub_per_fu": 0.6, "formation_energy_uncorrected_ev_per_atom": -1.14, "crystal_system": "monoclinic"}

6.
{"formula": "Li4Co2Pd", "functional": "PBE", "state": "optimized geometry", "lattice_angstrom": [[-2.279, 2.279, 6.254], [2.279, -2.279, 6.254], [2.279, 2.279, -6.254]], "species": ["Li", "Li", "Li", "Li", "Co", "Co", "Pd"], "frac_coords": [[0.000, 0.500, 0.500], [0.196, 0.196, 0.000], [0.500, 0.000, 0.500], [0.804, 0.804, 0.000], [0.415, 0.415, 0.000], [0.585, 0.585, 0.000], [0.000, 0.000, 0.000]], "sg": "I4/mmm (139)", "ef_kcal_per_mol_atoms": 11.80, "n_ef_per_ev_cell": 4.970, "magnetic_moment_mub_per_fu": 3.9, "crystal_system": "tetragonal"}